(1)
Computed, not measured: a geometry-optimized Sc6Tl2Os structure at the PBE level of DFT.

electronic total energy	-6.3149	eV per atom
spin magnetization	0.0	μB per formula unit

Cell and atoms, written as CIF:
```
data_Sc6Tl2Os
_cell_length_a 8.0049
_cell_length_b 8.0049
_cell_length_c 3.6856
_cell_angle_alpha 90.00
_cell_angle_beta 90.00
_cell_angle_gamma 120.00
_space_group_name_H-M_alt 'P -6 2 m'
_space_group_IT_number 189
_space_group_name_Hall 'P -6 -2'
loop_
_atom_site_label
_atom_site_fract_x
_atom_site_fract_y
_atom_site_fract_z
Sc1 0.0000 0.3786 0.0000
Sc2 0.0000 0.7569 0.5000
Tl1 0.3333 0.6667 0.5000
Os1 0.0000 0.0000 0.0000
```

---

(2)
Computed, not measured: a geometry-optimized ScTlOs structure at the PBE level of DFT.

polymorph energy (0 for the lowest one)	0	meV/atom
electronic total energy	-5.9883	eV per atom
spin magnetization	0.0	μB per formula unit

Cell and atoms, written as CIF:
```
data_ScTlOs
_cell_length_a 6.4368
_cell_length_b 6.4368
_cell_length_c 6.4368
_cell_angle_alpha 90.00
_cell_angle_beta 90.00
_cell_angle_gamma 90.00
_space_group_name_H-M_alt 'F -4 3 m'
_space_group_IT_number 216
_space_group_name_Hall 'F -4 2 3'
loop_
_atom_site_label
_atom_site_fract_x
_atom_site_fract_y
_atom_site_fract_z
Sc1 0.0000 0.0000 0.0000
Tl1 0.2500 0.2500 0.2500
Os1 0.2500 0.2500 0.7500
```

---

(3)
Computed, not measured: a geometry-optimized ScUOs structure at the PBE level of DFT.

energy relative to the elements	0.707	eV/atom
polymorph energy (0 for the lowest one)	618	meV/atom
electronic total energy	-8.9098	eV per atom
spin magnetization	1.2	μB per formula unit

Cell and atoms, written as CIF:
```
data_ScUOs
_cell_length_a 6.3703
_cell_length_b 6.3703
_cell_length_c 6.3703
_cell_angle_alpha 90.00
_cell_angle_beta 90.00
_cell_angle_gamma 90.00
_space_group_name_H-M_alt 'F -4 3 m'
_space_group_IT_number 216
_space_group_name_Hall 'F -4 2 3'
loop_
_atom_site_label
_atom_site_fract_x
_atom_site_fract_y
_atom_site_fract_z
Sc1 0.0000 0.0000 0.0000
U1 0.2500 0.2500 0.7500
Os1 0.0000 0.0000 0.5000
```

---

(4)
Computed, not measured: a geometry-optimized ScUOs structure at the PBE level of DFT.

energy relative to the elements	0.089	eV/atom
polymorph energy (0 for the lowest one)	0	meV/atom
electronic total energy	-9.5280	eV per atom
spin magnetization	2.6	μB per formula unit

Cell and atoms, written as CIF:
```
data_ScUOs
_cell_length_a 6.4873
_cell_length_b 6.4873
_cell_length_c 6.4873
_cell_angle_alpha 90.00
_cell_angle_beta 90.00
_cell_angle_gamma 90.00
_space_group_name_H-M_alt 'F -4 3 m'
_space_group_IT_number 216
_space_group_name_Hall 'F -4 2 3'
loop_
_atom_site_label
_atom_site_fract_x
_atom_site_fract_y
_atom_site_fract_z
Sc1 0.0000 0.0000 0.0000
U1 0.0000 0.0000 0.5000
Os1 0.2500 0.2500 0.2500
```

---

(5)
Computed, not measured: a geometry-optimized ScOs2W structure at the PBE level of DFT.

energy relative to the elements	0.168	eV/atom
electronic total energy	-10.2674	eV per atom
spin magnetization	0.0	μB per formula unit

Cell and atoms, written as CIF:
```
data_ScOs2W
_cell_length_a 6.3006
_cell_length_b 6.3006
_cell_length_c 6.3006
_cell_angle_alpha 90.00
_cell_angle_beta 90.00
_cell_angle_gamma 90.00
_space_group_name_H-M_alt 'F -4 3 m'
_space_group_IT_number 216
_space_group_name_Hall 'F -4 2 3'
loop_
_atom_site_label
_atom_site_fract_x
_atom_site_fract_y
_atom_site_fract_z
Sc1 0.0000 0.0000 0.0000
Os1 0.0000 0.0000 0.5000
Os2 0.2500 0.2500 0.7500
W1 0.2500 0.2500 0.2500
```

---

(6)
Computed, not measured: a geometry-optimized YScOs structure at the PBE level of DFT.

energy relative to the elements	-0.337	eV/atom
polymorph energy (0 for the lowest one)	0	meV/atom
electronic total energy	-8.3439	eV per atom
spin magnetization	0.0	μB per formula unit

Cell and atoms, written as CIF:
```
data_YScOs
_cell_length_a 7.3210
_cell_length_b 7.3210
_cell_length_c 4.1685
_cell_angle_alpha 90.00
_cell_angle_beta 90.00
_cell_angle_gamma 120.00
_space_group_name_H-M_alt 'P -6 2 m'
_space_group_IT_number 189
_space_group_name_Hall 'P -6 -2'
loop_
_atom_site_label
_atom_site_fract_x
_atom_site_fract_y
_atom_site_fract_z
Y1 0.0000 0.5857 0.0000
Sc1 0.0000 0.2504 0.5000
Os1 0.0000 0.0000 0.0000
Os2 0.3333 0.6667 0.5000
```

---

(7)
Computed, not measured: a geometry-optimized YScOs2 structure at the PBE level of DFT.

energy relative to the elements	0.114	eV/atom
electronic total energy	-8.6977	eV per atom
spin magnetization	0.0	μB per formula unit

Cell and atoms, written as CIF:
```
data_YScOs2
_cell_length_a 6.5613
_cell_length_b 6.5613
_cell_length_c 6.5613
_cell_angle_alpha 90.00
_cell_angle_beta 90.00
_cell_angle_gamma 90.00
_space_group_name_H-M_alt 'F -4 3 m'
_space_group_IT_number 216
_space_group_name_Hall 'F -4 2 3'
loop_
_atom_site_label
_atom_site_fract_x
_atom_site_fract_y
_atom_site_fract_z
Y1 0.0000 0.0000 0.0000
Sc1 0.2500 0.2500 0.7500
Os1 0.0000 0.0000 0.5000
Os2 0.2500 0.2500 0.2500
```

---

(8)
Computed, not measured: a geometry-optimized Sc2ZnOs structure at the PBE level of DFT.

energy relative to the elements	-0.414	eV/atom
polymorph energy (0 for the lowest one)	51	meV/atom
electronic total energy	-6.7004	eV per atom
spin magnetization	0.0	μB per formula unit

Cell and atoms, written as CIF:
```
data_Sc2ZnOs
_cell_length_a 6.4514
_cell_length_b 6.4618
_cell_length_c 3.3332
_cell_angle_alpha 90.00
_cell_angle_beta 90.00
_cell_angle_gamma 90.00
_space_group_name_H-M_alt 'C m m m'
_space_group_IT_number 65
_space_group_name_Hall '-C 2 2'
loop_
_atom_site_label
_atom_site_fract_x
_atom_site_fract_y
_atom_site_fract_z
Sc1 0.2500 0.2500 0.0000
Zn1 0.0000 0.0000 0.5000
Os1 0.0000 0.5000 0.5000
```

---

Please write out number 2 again, unchanged.
Computed, not measured: a geometry-optimized ScTlOs structure at the PBE level of DFT.

polymorph energy (0 for the lowest one)	0	meV/atom
electronic total energy	-5.9883	eV per atom
spin magnetization	0.0	μB per formula unit

Cell and atoms, written as CIF:
```
data_ScTlOs
_cell_length_a 6.4368
_cell_length_b 6.4368
_cell_length_c 6.4368
_cell_angle_alpha 90.00
_cell_angle_beta 90.00
_cell_angle_gamma 90.00
_space_group_name_H-M_alt 'F -4 3 m'
_space_group_IT_number 216
_space_group_name_Hall 'F -4 2 3'
loop_
_atom_site_label
_atom_site_fract_x
_atom_site_fract_y
_atom_site_fract_z
Sc1 0.0000 0.0000 0.0000
Tl1 0.2500 0.2500 0.2500
Os1 0.2500 0.2500 0.7500
```